[1]
This record from OQMD describes Mg2Cu2BiAs after structural relaxation. The functional is PBE.

Unit cell a=10.6977 b=4.3679 c=10.7044 alpha=90.00 beta=109.55 gamma=90.00
Element x y z (fractional)
Mg: 0.8838 0.5000 0.8937
Mg: 0.3695 0.5000 0.3707
Mg: 0.6164 0.5000 0.1264
Mg: 0.0067 0.0000 0.2533
Mg: 0.5105 0.0000 0.7558
Mg: 0.2502 0.0000 0.0149
Mg: 0.1307 0.5000 0.6130
Mg: 0.7359 0.0000 0.4867
Bi: 0.0042 0.0000 0.7540
Bi: 0.8718 0.5000 0.3699
Bi: 0.6209 0.5000 0.6241
Bi: 0.3765 0.5000 0.8758
Cu: 0.7386 0.0000 0.2327
Cu: 0.3714 0.5000 0.1330
Cu: 0.0038 0.0000 0.0143
Cu: 0.8742 0.5000 0.6258
Cu: 0.6406 0.5000 0.8905
Cu: 0.4829 0.0000 0.4873
Cu: 0.1311 0.5000 0.3692
Cu: 0.2538 0.0000 0.7343
As: 0.4945 0.0000 0.2473
As: 0.1279 0.5000 0.1312
As: 0.2474 0.0000 0.4924
As: 0.7568 0.0000 0.0034

***

[2]
This record from OQMD describes CuTcBiAs after structural relaxation. The functional is PBE.

Unit cell a=4.7065 b=4.7065 c=4.7065 alpha=60.00 beta=60.00 gamma=60.00
Element x y z (fractional)
Cu: 0.7500 0.7500 0.7500
Tc: 0.5000 0.5000 0.5000
As: 0.2500 0.2500 0.2500
Bi: 0.0000 0.0000 0.0000

Computed properties:
* distance to the lowest polymorph of the same formula: 201 meV/atom

***

[3]
This record from OQMD describes CuTcBiAs after structural relaxation. The functional is PBE.

Unit cell a=4.6522 b=4.6522 c=4.6522 alpha=60.00 beta=60.00 gamma=60.00
Element x y z (fractional)
As: 0.5000 0.5000 0.5000
Bi: 0.0000 0.0000 0.0000
Cu: 0.7500 0.7500 0.7500
Tc: 0.2500 0.2500 0.2500

Computed properties:
* distance to the lowest polymorph of the same formula: 0 meV/atom

***

Taking the records one at a time from the top gives volume values of 471.4 73.7 71.2 Å³ per cell.
Taking the records one at a time from the top gives uncorrected energy values of -3.40 -4.99 -5.19 eV/atom.